(1)
A relaxed structure of TbCeHo2Tl4. Source: the Alexandria database, functional GGA-PBE.

E = -94.837 eV for the cell shown

Cell lengths 5.3941, 5.3941, 26.5821 Å; angles 90.00, 90.00, 120.00 degrees
With the nearest neighbours (Å) after each atom.
Space group R-3m (No. 166, hexagonal axes)
Unique sites:
Tb 0.0000 0.0000 0.0000 x3  8 Tl 3.29-3.30
Ce 0.0000 0.0000 0.5000 x3  8 Tl 3.32-3.35
Ho 0.0000 0.0000 0.2505 x6  8 Tl 3.28-3.37
Tl 0.0000 0.0000 0.1236 x6  1 Tb 3.29, 4 Ho 3.30-3.37, 3 Ce 3.32
Tl 0.0000 0.0000 0.3739 x6  4 Ho 3.28-3.31, 3 Tb 3.30, 1 Ce 3.35


(2)
A relaxed structure of DyTm2Sb. Source: the Alexandria database, functional GGA-PBE.

Energy relative to the elements, uncorrected = -0.86 eV per formula unit
E = -74.106 eV for the cell shown
Energy relative to the lowest polymorph listed for this composition = 1.29 eV per formula unit

Cell lengths 7.5433, 7.5433, 7.5433 Å; angles 90.00, 90.00, 90.00 degrees
With the nearest neighbours (Å) after each atom.
Space group Fm-3m (No. 225)
Unique sites:
Dy 0.0000 0.0000 0.0000 x4  8 Tm 3.27
Tm 0.2500 0.2500 0.2500 x8  4 Sb 3.27, 4 Dy 3.27
Sb 0.0000 0.0000 0.5000 x4  8 Tm 3.27


Repeat the first record exactly.
A relaxed structure of TbCeHo2Tl4. Source: the Alexandria database, functional GGA-PBE.

E = -94.837 eV for the cell shown

Cell lengths 5.3941, 5.3941, 26.5821 Å; angles 90.00, 90.00, 120.00 degrees
With the nearest neighbours (Å) after each atom.
Space group R-3m (No. 166, hexagonal axes)
Unique sites:
Tb 0.0000 0.0000 0.0000 x3  8 Tl 3.29-3.30
Ce 0.0000 0.0000 0.5000 x3  8 Tl 3.32-3.35
Ho 0.0000 0.0000 0.2505 x6  8 Tl 3.28-3.37
Tl 0.0000 0.0000 0.1236 x6  1 Tb 3.29, 4 Ho 3.30-3.37, 3 Ce 3.32
Tl 0.0000 0.0000 0.3739 x6  4 Ho 3.28-3.31, 3 Tb 3.30, 1 Ce 3.35


Number 1 is which compound?
TbCeHo2Tl4